! Nb2ReAu, optimized geometry, DFT GGA-PBE; values from VASP
&SYSTEM
  ibrav = 0, nat = 4, ntyp = 3
/
ATOMIC_SPECIES
Nb 92.91 Nb.upf
Re 186.21 Re.upf
Au 196.97 Au.upf
CELL_PARAMETERS angstrom
4.180 0.000 0.000
0.000 4.180 0.000
0.000 0.000 3.892
ATOMIC_POSITIONS angstrom
Nb 0.000 2.090 0.000
Nb 2.090 0.000 0.000
Re 0.000 0.000 1.946
Au 2.090 2.090 1.946
! - E_form (eV/atom) = -0.02
! - space-group type = No. 123
! - spin magnetization (μB per atom) = 0.000
! - energy (eV per atom) = -8.98
! - offset from the most stable computed form (eV/atom) = 0.063
! - D(E_F) (states/eV per cell) = 3.65


! RhSeS2N, optimized geometry, DFT GGA-PBE; values from VASP
&SYSTEM
  ibrav = 0, nat = 5, ntyp = 4
/
ATOMIC_SPECIES
Rh 102.91 Rh.upf
Se 78.96 Se.upf
S 32.06 S.upf
N 14.01 N.upf
CELL_PARAMETERS angstrom
4.812 0.000 0.000
0.000 4.812 0.000
0.000 0.000 3.534
ATOMIC_POSITIONS angstrom
Rh 0.000 0.000 0.000
Se 2.406 2.406 1.767
S 0.000 2.406 1.767
S 2.406 0.000 1.767
N 2.406 2.406 0.000
! - space-group type = No. 123
! - spin magnetization (μB per atom) = 0.000
! - energy (eV per atom) = -4.12
! - offset from the most stable computed form (eV/atom) = 0.642
! - formation energy (no corrections) (eV per atom) = 1.3631
! - D(E_F) (states/eV per cell) = 4.74


! Er2AlIr, optimized geometry, DFT GGA-PBE; values from VASP
&SYSTEM
  ibrav = 0, nat = 4, ntyp = 3
/
ATOMIC_SPECIES
Er 167.26 Er.upf
Al 26.98 Al.upf
Ir 192.22 Ir.upf
CELL_PARAMETERS angstrom
3.513 0.000 0.000
0.000 3.513 0.000
0.000 0.000 6.878
ATOMIC_POSITIONS angstrom
Er 0.000 0.000 1.590
Er 0.000 0.000 5.288
Al 1.757 1.757 3.439
Ir 1.757 1.757 0.000
! - E_form (eV/atom) = -0.67
! - space-group type = No. 123
! - spin magnetization (μB per atom) = 0.000
! - energy (eV per atom) = -6.10
! - D(E_F) (states/eV per cell) = 1.58


! Pm2SnHg, optimized geometry, DFT GGA-PBE; values from VASP
&SYSTEM
  ibrav = 0, nat = 8, ntyp = 3
/
ATOMIC_SPECIES
Pm 145.00 Pm.upf
Sn 118.71 Sn.upf
Hg 200.59 Hg.upf
CELL_PARAMETERS angstrom
6.294 0.000 0.000
0.000 4.525 0.000
-3.049 0.000 8.308
ATOMIC_POSITIONS angstrom
Pm -0.008 1.131 3.573
Pm 1.601 3.394 0.582
Pm 1.645 1.131 7.725
Pm 3.254 3.394 4.734
Sn 0.215 3.394 5.885
Sn 3.031 1.131 2.422
Hg -1.677 1.131 6.618
Hg 4.922 3.394 1.689
! - E_form (eV/atom) = -0.60
! - space-group type = No. 11
! - spin magnetization (μB per atom) = 0.000
! - energy (eV per atom) = -4.05
! - offset from the most stable computed form (eV/atom) = 0.004
! - D(E_F) (states/eV per cell) = 10.80


! LaSm2Ru2, optimized geometry, DFT GGA-PBE; values from VASP
&SYSTEM
  ibrav = 0, nat = 10, ntyp = 3
/
ATOMIC_SPECIES
La 138.91 La.upf
Sm 150.36 Sm.upf
Ru 101.07 Ru.upf
CELL_PARAMETERS angstrom
5.553 0.000 0.000
0.000 4.368 0.000
-1.341 0.000 10.943
ATOMIC_POSITIONS angstrom
La -0.138 1.092 3.051
La 4.349 3.276 7.892
Sm 1.426 3.276 0.313
Sm 1.487 1.092 6.803
Sm 2.725 3.276 4.141
Sm 2.785 1.092 10.631
Ru 0.047 3.276 5.377
Ru -0.043 1.092 9.380
Ru 4.255 3.276 1.563
Ru 4.165 1.092 5.566
! - E_form (eV/atom) = -0.16
! - space-group type = No. 11
! - spin magnetization (μB per atom) = 0.000
! - energy (eV per atom) = -6.74
! - offset from the most stable computed form (eV/atom) = 0.056
! - D(E_F) (states/eV per cell) = 8.92


! Pm3Zn2SiRh9, optimized geometry, DFT GGA-PBE; values from VASP
&SYSTEM
  ibrav = 0, nat = 15, ntyp = 4
/
ATOMIC_SPECIES
Pm 145.00 Pm.upf
Zn 65.41 Zn.upf
Si 28.09 Si.upf
Rh 102.91 Rh.upf
CELL_PARAMETERS angstrom
6.589 0.000 0.000
-3.294 5.706 0.000
0.000 0.000 7.627
ATOMIC_POSITIONS angstrom
Pm 0.000 0.000 0.000
Pm 0.000 3.804 5.167
Pm 3.294 1.902 2.460
Zn 0.000 3.804 1.456
Zn 3.294 1.902 6.171
Si 0.000 0.000 3.814
Rh -1.647 2.853 0.000
Rh 0.000 1.682 2.386
Rh -1.838 4.865 2.386
Rh 1.457 0.841 5.241
Rh 3.294 0.000 0.000
Rh 1.647 2.853 0.000
Rh 1.838 4.865 2.386
Rh 5.132 0.841 5.241
Rh 3.294 4.024 5.241
! - space-group type = No. 164
! - spin magnetization (μB per atom) = 0.048
! - energy (eV per atom) = -6.12
! - formation energy (no corrections) (eV per atom) = -0.2263
! - D(E_F) (states/eV per cell) = 20.00


! USb2Pd8, optimized geometry, DFT GGA-PBE; values from VASP
&SYSTEM
  ibrav = 0, nat = 11, ntyp = 3
/
ATOMIC_SPECIES
U 238.03 U.upf
Sb 121.76 Sb.upf
Pd 106.42 Pd.upf
CELL_PARAMETERS angstrom
4.004 0.000 0.000
-0.006 6.485 0.000
-2.001 -1.774 7.432
ATOMIC_POSITIONS angstrom
U 0.000 0.000 0.000
Sb -0.006 3.890 5.035
Sb 2.003 0.820 2.397
Pd -0.003 2.569 1.320
Pd -0.002 5.340 2.578
Pd -0.002 1.345 4.175
Pd -0.002 0.154 6.806
Pd 1.999 4.556 0.626
Pd 1.998 3.366 3.257
Pd 1.999 -0.630 4.854
Pd 1.999 2.142 6.112
! - space-group type = No. 2
! - spin magnetization (μB per atom) = 0.151
! - energy (eV per atom) = -5.93
! - offset from the most stable computed form (eV/atom) = 0.000
! - formation energy (no corrections) (eV per atom) = -0.3806
! - D(E_F) (states/eV per cell) = 9.52


! BaAgNO2, optimized geometry, DFT GGA-PBE; values from VASP
&SYSTEM
  ibrav = 0, nat = 5, ntyp = 4
/
ATOMIC_SPECIES
Ba 137.33 Ba.upf
Ag 107.87 Ag.upf
N 14.01 N.upf
O 16.00 O.upf
CELL_PARAMETERS angstrom
4.758 0.000 0.000
0.000 4.758 0.000
0.000 0.000 5.251
ATOMIC_POSITIONS angstrom
Ba 0.000 0.000 0.000
Ag 2.379 2.379 2.625
N 0.000 0.000 2.625
O 0.000 2.379 0.000
O 2.379 0.000 0.000
! - space-group type = No. 123
! - spin magnetization (μB per atom) = 0.505
! - energy (eV per atom) = -3.83
! - formation energy (no corrections) (eV per atom) = 0.7698
! - D(E_F) (states/eV per cell) = 5.37


! Ba3SrO4, optimized geometry, DFT GGA-PBE; values from VASP
&SYSTEM
  ibrav = 0, nat = 8, ntyp = 3
/
ATOMIC_SPECIES
Ba 137.33 Ba.upf
Sr 87.62 Sr.upf
O 16.00 O.upf
CELL_PARAMETERS angstrom
5.527 0.000 0.000
0.000 5.527 0.000
0.000 0.000 5.527
ATOMIC_POSITIONS angstrom
Ba 0.000 0.000 2.764
Ba 0.000 2.764 0.000
Ba 2.764 0.000 0.000
Sr 2.764 2.764 2.764
O 0.000 0.000 0.000
O 0.000 2.764 2.764
O 2.764 0.000 2.764
O 2.764 2.764 0.000
! - space-group type = No. 221
! - spin magnetization (μB per atom) = 0.000
! - energy (eV per atom) = -5.91
! - formation energy (no corrections) (eV per atom) = -2.5008
! - D(E_F) (states/eV per cell) = 0.00


! BaAlPb2, optimized geometry, DFT GGA-PBE; values from VASP
&SYSTEM
  ibrav = 0, nat = 8, ntyp = 3
/
ATOMIC_SPECIES
Ba 137.33 Ba.upf
Al 26.98 Al.upf
Pb 207.20 Pb.upf
CELL_PARAMETERS angstrom
6.988 0.000 0.000
0.000 10.050 0.000
0.000 0.000 3.668
ATOMIC_POSITIONS angstrom
Ba 0.000 0.000 0.000
Ba 3.494 5.025 0.000
Al 0.000 5.025 0.000
Al 3.494 0.000 0.000
Pb 1.747 2.513 1.834
Pb 1.747 7.538 1.834
Pb 5.241 2.513 1.834
Pb 5.241 7.538 1.834
! - E_form (eV/atom) = -0.02
! - space-group type = No. 65
! - spin magnetization (μB per atom) = 0.000
! - energy (eV per atom) = -3.29
! - D(E_F) (states/eV per cell) = 4.68


! YMg6Ni, optimized geometry, DFT GGA-PBE; values from VASP
&SYSTEM
  ibrav = 0, nat = 16, ntyp = 3
/
ATOMIC_SPECIES
Y 88.91 Y.upf
Mg 24.30 Mg.upf
Ni 58.69 Ni.upf
CELL_PARAMETERS angstrom
4.913 0.000 0.000
0.000 5.889 0.000
0.000 0.000 12.287
ATOMIC_POSITIONS angstrom
Y 0.000 0.000 0.000
Y 0.000 2.945 6.144
Mg 0.000 1.463 3.050
Mg 0.000 1.481 9.194
Mg 0.000 4.408 9.194
Mg 0.000 4.426 3.050
Mg 2.457 0.000 1.942
Mg 2.457 0.000 7.383
Mg 2.457 1.441 4.773
Mg 2.457 1.503 10.916
Mg 2.457 2.945 1.239
Mg 2.457 2.945 8.085
Mg 2.457 4.386 10.916
Mg 2.457 4.448 4.773
Ni 0.000 0.000 5.355
Ni 0.000 2.945 11.498
! - E_form (eV/atom) = 0.01
! - space-group type = No. 38
! - spin magnetization (μB per atom) = 0.000
! - energy (eV per atom) = -2.72
! - offset from the most stable computed form (eV/atom) = 0.000
! - D(E_F) (states/eV per cell) = 9.64


! TcMo2Os, optimized geometry, DFT GGA-PBE; values from VASP
&SYSTEM
  ibrav = 0, nat = 8, ntyp = 3
/
ATOMIC_SPECIES
Tc 98.00 Tc.upf
Mo 95.94 Mo.upf
Os 190.23 Os.upf
CELL_PARAMETERS angstrom
3.916 0.000 0.000
0.000 3.916 0.000
0.000 0.000 7.935
ATOMIC_POSITIONS angstrom
Tc 0.000 0.000 0.000
Tc 1.958 1.958 3.967
Mo 0.000 0.000 3.967
Mo 0.000 1.958 5.951
Mo 1.958 0.000 1.984
Mo 1.958 1.958 0.000
Os 0.000 1.958 1.984
Os 1.958 0.000 5.951
! - E_form (eV/atom) = 0.15
! - space-group type = No. 119
! - spin magnetization (μB per atom) = 0.000
! - energy (eV per atom) = -10.67
! - offset from the most stable computed form (eV/atom) = 0.040
! - D(E_F) (states/eV per cell) = 9.65